## Ca3Hg3Pb (PBE-GGA)

Data for a geometry-optimized Ca3Hg3Pb structure.

Cell lengths 5.2544, 9.3665, 9.3665 Å; angles 120.00, 90.00, 90.00 degrees
Closest atoms and distances in Å follow each position.
Fractional coordinates of all 14 atoms:
Ca  0.7500  0.9059  0.3421  4 Hg 3.12-3.33, 2 Pb 3.43
Ca  0.2500  0.3421  0.4362  4 Hg 3.12-3.33, 2 Pb 3.43
Ca  0.2500  0.5638  0.9059  4 Hg 3.12-3.33, 2 Pb 3.43
Ca  0.2500  0.0941  0.6579  4 Hg 3.12-3.33, 2 Pb 3.43
Ca  0.7500  0.6579  0.5638  4 Hg 3.12-3.33, 2 Pb 3.43
Ca  0.7500  0.4362  0.0941  4 Hg 3.12-3.33, 2 Pb 3.43
Hg  0.7500  0.1889  0.2260  4 Ca 3.12-3.33, 6 Hg 3.28-3.41
Hg  0.7500  0.7740  0.9629  4 Ca 3.12-3.33, 6 Hg 3.28-3.41
Hg  0.2500  0.8111  0.7740  4 Ca 3.12-3.33, 6 Hg 3.28-3.41
Hg  0.2500  0.2260  0.0371  4 Ca 3.12-3.33, 6 Hg 3.28-3.41
Hg  0.7500  0.0371  0.8111  4 Ca 3.12-3.33, 6 Hg 3.28-3.41
Hg  0.2500  0.9629  0.1889  4 Ca 3.12-3.33, 6 Hg 3.28-3.41
Pb  0.2500  0.6667  0.3333  9 Ca 3.43-3.62, 3 Hg 3.64
Pb  0.7500  0.3333  0.6667  9 Ca 3.43-3.62, 3 Hg 3.64

* space group: P6_3/m
* relative energy among the computed polymorphs: 0.0 meV/atom
* volume: 28.52 Å³ per atom
* magnetic moment: 0.00 μB/cell



## CaHg3Pb2 (PBE-GGA)

Data for a geometry-optimized CaHg3Pb2 structure.

Cell lengths 6.3844, 6.1729, 10.2518 Å; angles 84.76, 79.83, 58.86 degrees
Closest atoms and distances in Å follow each position.
Fractional coordinates of all 12 atoms:
Hg  0.7320  0.0000  0.7574  2 Ca 3.22, 4 Pb 3.25-3.37, 4 Hg 3.46-3.55
Hg  0.0825  0.3461  0.7543  2 Ca 3.19-3.20, 4 Pb 3.27-3.34, 2 Hg 3.46-3.55
Hg  0.5713  0.3461  0.2457  2 Ca 3.19-3.20, 4 Pb 3.27-3.34, 2 Hg 3.46-3.55
Hg  0.9175  0.6539  0.2457  2 Ca 3.19-3.20, 4 Pb 3.27-3.34, 2 Hg 3.46-3.55
Hg  0.4287  0.6539  0.7543  2 Ca 3.19-3.20, 4 Pb 3.27-3.34, 2 Hg 3.46-3.55
Hg  0.2680  0.0000  0.2426  2 Ca 3.22, 4 Pb 3.25-3.37, 4 Hg 3.46-3.55
Ca  0.6713  0.6573  0.0000  6 Hg 3.19-3.22, 1 Pb 3.47
Ca  0.3287  0.3427  0.0000  6 Hg 3.19-3.22, 1 Pb 3.47
Pb  0.8340  0.3319  0.5000  6 Hg 3.27-3.37, 6 Pb 3.51-3.65
Pb  0.1660  0.6681  0.5000  6 Hg 3.27-3.37, 6 Pb 3.51-3.65
Pb  0.5000  0.0000  0.5000  6 Hg 3.25-3.34, 2 Pb 3.53
Pb  0.0000  0.0000  0.0000  6 Hg 3.26-3.30, 2 Ca 3.47

* space group: C2/m
* relative energy among the computed polymorphs: 54.9 meV/atom
* volume: 28.36 Å³ per atom
* magnetic moment: 0.00 μB/cell



## Ca2HgPb (PBE-GGA)

Data for a geometry-optimized Ca2HgPb structure.

Cell lengths 10.0145, 10.0145, 10.0145 Å; angles 22.13, 22.13, 22.13 degrees
Closest atoms and distances in Å follow each position.
Fractional coordinates of all 4 atoms:
Ca  0.5044  0.5044  0.5044  3 Hg 3.21, 3 Pb 3.40
Ca  0.9956  0.9956  0.9956  3 Hg 3.21, 3 Pb 3.40
Hg  0.2500  0.2500  0.2500  6 Ca 3.21
Pb  0.7500  0.7500  0.7500  6 Ca 3.40

* space group: R-3m
* E: -2.366 eV/atom
* volume: 31.25 Å³ per atom
* magnetic moment: 0.23 μB/cell



## CaHg6Pb2 (PBE-GGA)

Data for a geometry-optimized CaHg6Pb2 structure.

Cell lengths 5.5329, 5.9014, 8.8253 Å; angles 70.47, 81.53, 63.87 degrees
Closest atoms and distances in Å follow each position.
Fractional coordinates of all 9 atoms:
Hg  0.1608  0.5020  0.8278  5 Hg 3.17-3.54, 1 Ca 3.25, 4 Pb 3.26-3.53
Hg  0.3314  0.3479  0.5000  4 Hg 3.11-3.30, 3 Ca 3.30-3.46, 2 Pb 3.35
Hg  0.6686  0.6521  0.5000  4 Hg 3.11-3.30, 3 Ca 3.30-3.46, 2 Pb 3.35
Hg  0.1608  0.8298  0.1722  5 Hg 3.17-3.54, 1 Ca 3.25, 4 Pb 3.26-3.53
Hg  0.8392  0.4980  0.1722  5 Hg 3.17-3.54, 1 Ca 3.25, 4 Pb 3.26-3.53
Hg  0.8392  0.1702  0.8278  5 Hg 3.17-3.54, 1 Ca 3.25, 4 Pb 3.26-3.53
Ca  0.0000  0.0000  0.5000  10 Hg 3.25-3.46
Pb  0.5000  0.8315  0.8370  10 Hg 3.26-3.53
Pb  0.5000  0.1685  0.1630  10 Hg 3.26-3.53

* space group: C2/m
* relative energy among the computed polymorphs: 8.6 meV/atom
* volume: 27.09 Å³ per atom
* magnetic moment: 0.00 μB/cell